# Cr2GaFeO6

A geometry-optimized Cr2GaFeO6 structure (PBE+U, Alexandria via LeMat-Bulk).

```
Cr2GaFeO6
1.0
2.5222 1.4562 4.5438
-2.5222 1.4562 4.5438
0.0000 -2.9124 4.5438
Cr Ga Fe O
2 1 1 6
Cartesian
0.0000 0.0000 0.0000
0.0000 0.0000 6.7499
0.0000 0.0000 3.9695
0.0000 0.0000 10.9060
-1.5393 -0.0299 5.4399
-1.0075 -1.4708 7.6979
0.7955 -1.3181 5.4399
-0.7700 1.6079 7.6979
0.7437 1.3480 5.4399
1.7775 -0.1372 7.6979
```

Summary:
Space-group type ... R3
E_tot ... -6.98 eV/atom
DOS(E_F) ... 0.000 states/eV/atom
Magnetization ... 7.0 μB per cell